The following is a DFT calculation (PBE) of crystalline KHoCdSe3 at its relaxed geometry.

Lattice parameters (Å, degrees): 12.212 4.268 13.012 90.00 90.00 90.00
Atoms (fractional coordinates):
K: 0.157 0.250 0.010
K: 0.343 0.750 0.510
K: 0.657 0.250 0.490
K: 0.843 0.750 0.990
Ho: 0.035 0.250 0.331
Ho: 0.465 0.750 0.831
Ho: 0.535 0.250 0.169
Ho: 0.965 0.750 0.669
Cd: 0.239 0.250 0.716
Cd: 0.261 0.750 0.216
Cd: 0.739 0.250 0.784
Cd: 0.761 0.750 0.284
Se: 0.045 0.750 0.176
Se: 0.088 0.250 0.570
Se: 0.233 0.750 0.839
Se: 0.267 0.250 0.339
Se: 0.412 0.750 0.070
Se: 0.455 0.250 0.676
Se: 0.545 0.750 0.324
Se: 0.588 0.250 0.930
Se: 0.733 0.750 0.661
Se: 0.767 0.250 0.161
Se: 0.912 0.750 0.430
Se: 0.955 0.250 0.824

Summary:
Space-group type: No. 62
Uncorrected energy (eV/cell): -98.6